DFT (GGA-PBE) results for crystalline Tb2Sm2Mg15 at its relaxed geometry.

Computed properties:
DFT formation energy: 0.2 kcal/mol of atoms
E: -42.44 eV/f.u.
space group: No. 166

Lattice parameters (Å, degrees): 7.9237 7.9237 7.9237 83.25 83.25 83.25
Closest atoms and distances in Å follow each position.
Fractional positions:
Tb 0.0991 0.0991 0.0991  1 Tb 3.02, 3 Mg 3.21
Tb 0.9009 0.9009 0.9009  1 Tb 3.02, 3 Mg 3.21
Sm 0.3311 0.3311 0.3311  1 Tb 3.54, 15 Mg 3.71-3.94
Sm 0.6689 0.6689 0.6689  1 Tb 3.54, 15 Mg 3.71-3.94
Mg 0.0000 0.0000 0.5000  8 Mg 3.01-3.10, 2 Tb 3.21
Mg 0.0000 0.2986 0.7014  8 Mg 3.01-3.26
Mg 0.0000 0.5000 0.0000  8 Mg 3.01-3.10, 2 Tb 3.21
Mg 0.0000 0.7014 0.2986  8 Mg 3.01-3.26
Mg 0.1569 0.6430 0.6430  8 Mg 3.01-3.26
Mg 0.2986 0.0000 0.7014  8 Mg 3.01-3.26
Mg 0.2986 0.7014 0.0000  8 Mg 3.01-3.26
Mg 0.3570 0.3570 0.8431  8 Mg 3.01-3.26
Mg 0.3570 0.8431 0.3570  8 Mg 3.01-3.26
Mg 0.5000 0.0000 0.0000  8 Mg 3.01-3.10, 2 Tb 3.21
Mg 0.6430 0.1569 0.6430  8 Mg 3.01-3.26
Mg 0.6430 0.6430 0.1569  8 Mg 3.01-3.26
Mg 0.7014 0.0000 0.2986  8 Mg 3.01-3.26
Mg 0.7014 0.2986 0.0000  8 Mg 3.01-3.26
Mg 0.8431 0.3570 0.3570  8 Mg 3.01-3.26



DFT (GGA-PBE) results for crystalline Hg4Pd5Pb at its relaxed geometry.

Computed properties:
DFT formation energy: -3.6 kcal/mol of atoms
E: -32.44 eV/f.u.
space group: No. 123

Lattice parameters (Å, degrees): 3.3795 3.3795 16.3136 90.00 90.00 90.00
Closest atoms and distances in Å follow each position.
Fractional positions:
Hg 0.0000 0.0000 0.0968  8 Pd 2.86, 2 Hg 3.16-3.18
Hg 0.0000 0.0000 0.2919  8 Pd 2.87-2.88, 1 Hg 3.18
Hg 0.0000 0.0000 0.7081  8 Pd 2.87-2.88, 1 Hg 3.18
Hg 0.0000 0.0000 0.9032  8 Pd 2.86, 2 Hg 3.16-3.18
Pd 0.5000 0.5000 0.0000  8 Hg 2.86, 2 Pd 3.15
Pd 0.5000 0.5000 0.1933  8 Hg 2.86-2.88, 2 Pd 3.15-3.20
Pd 0.5000 0.5000 0.3896  4 Hg 2.87, 4 Pb 2.99, 1 Pd 3.20
Pd 0.5000 0.5000 0.6104  4 Hg 2.87, 4 Pb 2.99, 1 Pd 3.20
Pd 0.5000 0.5000 0.8067  8 Hg 2.86-2.88, 2 Pd 3.15-3.20
Pb 0.0000 0.0000 0.5000  8 Pd 2.99



DFT (GGA-PBE) results for crystalline Sr2LiGa3Ge4 at its relaxed geometry.

Computed properties:
DFT formation energy: -8.8 kcal/mol of atoms
E: -36.66 eV/f.u.
space group: No. 115

Lattice parameters (Å, degrees): 4.5953 4.5953 10.4312 90.00 90.00 90.00
Closest atoms and distances in Å follow each position.
Fractional positions:
Sr 0.0000 0.5000 0.2479  2 Li 3.46, 6 Ga 3.46-3.49, 8 Ge 3.47-3.49
Sr 0.5000 0.0000 0.7521  2 Li 3.46, 6 Ga 3.46-3.49, 8 Ge 3.47-3.49
Li 0.5000 0.5000 0.0000  4 Ge 2.67
Ga 0.0000 0.0000 0.0000  4 Ge 2.67
Ga 0.0000 0.5000 0.6289  5 Ge 2.52-2.66
Ga 0.5000 0.0000 0.3711  5 Ge 2.52-2.66
Ge 0.0000 0.0000 0.5000  4 Ga 2.66
Ge 0.0000 0.5000 0.8701  3 Ga 2.52-2.67, 2 Li 2.67
Ge 0.5000 0.0000 0.1299  3 Ga 2.52-2.67, 2 Li 2.67
Ge 0.5000 0.5000 0.5000  4 Ga 2.66